Density functional theory data (GGA-PBE) for a geometry-optimized BAs2O6F structure.

Properties
ΔE_f (raw) = -14.17 eV per formula unit
Size of the total moment = 0.00 μB/f.u.
Theoretical density = 3.66 g/cm³
Crystal system = monoclinic

abc: 5.4580 7.3045 7.3045
angles: 97.12 70.57 70.57
With the nearest neighbours (Å) after each atom.
Element x y z (fractional)
As1 0.3801 0.8641 0.6978  4 O 1.72-1.79
As2 0.6199 0.1359 0.3022  4 O 1.72-1.79
As3 0.8801 0.6978 0.8641  4 O 1.72-1.79
As4 0.1199 0.3022 0.1359  4 O 1.72-1.79
O1 0.4942 0.7377 0.4473  1 B 1.47
O2 0.3209 0.3082 0.8998  1 B 1.50
O3 0.7753 0.2993 0.2052  2 As 1.77-1.79
O4 0.1791 0.1002 0.6918  1 B 1.50
O5 0.7247 0.7948 0.7007  2 As 1.77-1.79
O6 0.9942 0.4473 0.7377  1 B 1.47
O7 0.0058 0.5527 0.2623  1 B 1.47
O8 0.5058 0.2623 0.5527  1 B 1.47
O9 0.6791 0.6918 0.1002  1 B 1.50
O10 0.2247 0.7007 0.7948  2 As 1.77-1.79
O11 0.2753 0.2052 0.2993  2 As 1.77-1.79
O12 0.8209 0.8998 0.3082  1 B 1.50
B1 0.7500 0.7193 0.2807  4 O 1.47-1.50
B2 0.2500 0.2807 0.7193  4 O 1.47-1.50
F1 0.2500 0.9980 0.0020  2 As 2.09
F2 0.7500 0.0020 0.9980  2 As 2.09